Here is crystalline Li2MnBi2O6 at its relaxed geometry from Alexandria via LeMat-Bulk. Energies are from PBE with a Hubbard U.

Summary:
V   425.2 Å³/cell
Calculated total energy   -63.778 eV per formula unit

a = 5.7901 Å, b = 5.7901 Å, c = 14.6456 Å
α = 90.00°, β = 90.00°, γ = 120.00°
Space group R-3m (No. 166, hexagonal axes)
Unique sites:
Li 0.0000 0.0000 0.0882 x6
Mn 0.0000 0.0000 0.5000 x3
Bi 0.0000 0.0000 0.3014 x6
O 0.0369 0.5184 0.2531 x18